[1]
A geometry-optimized SmErCo2 structure. Source: the Alexandria database, functional GGA-PBE.

Computed properties:
The calculation puts the volume at 19.02 A^3/atom. The total energy comes out at -5.97 eV/atom. The value obtained for the magnetic moment is 0.194 μB/atom. The density of states at the Fermi level is 1.47 states/eV per cell.

Cell lengths 4.751, 4.751, 3.370 Å; angles 90.00, 90.00, 90.00 degrees
Fractional positions:
Sm1 0.000 0.000 0.000
Er1 0.500 0.500 0.000
Co1 0.000 0.500 0.500
Co2 0.500 0.000 0.500


[2]
A geometry-optimized SmEr4Co4 structure. Source: the Alexandria database, functional GGA-PBE.

Computed properties:
The calculation puts the volume at 21.67 A^3/atom. The total energy comes out at -5.78 eV/atom. The value obtained for the magnetic moment is 0.000 μB/atom. The density of states at the Fermi level is 10.75 states/eV per cell.

Cell lengths 8.417, 8.417, 5.506 Å; angles 90.00, 90.00, 90.00 degrees
Fractional positions:
Sm1 0.250 0.250 0.250
Sm2 0.750 0.750 0.750
Er1 0.066 0.672 0.134
Er2 0.172 0.934 0.634
Er3 0.328 0.566 0.634
Er4 0.434 0.828 0.134
Er5 0.566 0.172 0.866
Er6 0.672 0.434 0.366
Er7 0.828 0.066 0.366
Er8 0.934 0.328 0.866
Co1 0.017 0.610 0.619
Co2 0.110 0.983 0.119
Co3 0.390 0.517 0.119
Co4 0.483 0.890 0.619
Co5 0.517 0.110 0.381
Co6 0.610 0.483 0.881
Co7 0.890 0.017 0.881
Co8 0.983 0.390 0.381


- The highest volume belongs to which entry?
  SmEr4Co4


Please write out number 2 again, unchanged.
A geometry-optimized SmEr4Co4 structure. Source: the Alexandria database, functional GGA-PBE.

Computed properties:
The calculation puts the volume at 21.67 A^3/atom. The total energy comes out at -5.78 eV/atom. The value obtained for the magnetic moment is 0.000 μB/atom. The density of states at the Fermi level is 10.75 states/eV per cell.

Cell lengths 8.417, 8.417, 5.506 Å; angles 90.00, 90.00, 90.00 degrees
Fractional positions:
Sm1 0.250 0.250 0.250
Sm2 0.750 0.750 0.750
Er1 0.066 0.672 0.134
Er2 0.172 0.934 0.634
Er3 0.328 0.566 0.634
Er4 0.434 0.828 0.134
Er5 0.566 0.172 0.866
Er6 0.672 0.434 0.366
Er7 0.828 0.066 0.366
Er8 0.934 0.328 0.866
Co1 0.017 0.610 0.619
Co2 0.110 0.983 0.119
Co3 0.390 0.517 0.119
Co4 0.483 0.890 0.619
Co5 0.517 0.110 0.381
Co6 0.610 0.483 0.881
Co7 0.890 0.017 0.881
Co8 0.983 0.390 0.381


- Which of these has the lowest magnetic moment?
  SmEr4Co4


- What is the formula in the first record?
  SmErCo2